[1]
LiSmAu after structural relaxation. Source: Alexandria via LeMat-Bulk, functional PBE.

Output
Its magnetization is 0.00 μB per cell. The calculation puts the calculated total energy at -11.2 eV/f.u. Its excess energy over the best structure of this formula in the dataset is 0.177 eV/atom. The formation energy from the elements comes out at -1.2 eV per formula unit. Its crystal system is cubic.

abc: 6.8076 6.8076 6.8076
angles: 90.00 90.00 90.00
Last column: nearest neighbours and their distance in Å.
Fractional positions:
Li (0.0000, 0.0000, 0.0000)  4 Au 2.95
Li (0.0000, 0.5000, 0.5000)  4 Au 2.95
Li (0.5000, 0.0000, 0.5000)  4 Au 2.95
Li (0.5000, 0.5000, 0.0000)  4 Au 2.95
Sm (0.0000, 0.0000, 0.5000)  4 Au 2.95
Sm (0.0000, 0.5000, 0.0000)  4 Au 2.95
Sm (0.5000, 0.0000, 0.0000)  4 Au 2.95
Sm (0.5000, 0.5000, 0.5000)  4 Au 2.95
Au (0.2500, 0.2500, 0.2500)  4 Li 2.95, 4 Sm 2.95
Au (0.2500, 0.7500, 0.7500)  4 Li 2.95, 4 Sm 2.95
Au (0.7500, 0.2500, 0.7500)  4 Li 2.95, 4 Sm 2.95
Au (0.7500, 0.7500, 0.2500)  4 Li 2.95, 4 Sm 2.95


[2]
Ca3In6GaAg2 after structural relaxation. Source: Alexandria via LeMat-Bulk, functional PBE.

Output
Its magnetization is 0.00 μB per cell. The calculation puts the calculated total energy at -32.7 eV/f.u. The formation energy from the elements comes out at -1.6 eV per formula unit. Its crystal system is trigonal.

abc: 6.1125 6.1125 9.9452
angles: 90.00 90.00 120.00
Last column: nearest neighbours and their distance in Å.
Fractional positions:
Ca (0.0000, 0.0000, 0.0000)  6 In 3.18, 6 Ag 3.53
Ca (0.3333, 0.6667, 0.5762)  9 In 3.45-3.56, 3 Ga 3.61, 3 Ca 3.84
Ca (0.6667, 0.3333, 0.4238)  9 In 3.45-3.56, 3 Ga 3.61, 3 Ca 3.84
In (0.1700, 0.3399, 0.2634)  1 Ga 2.96, 4 In 3.00-3.12, 1 Ag 3.07, 1 Ca 3.18
In (0.1700, 0.8300, 0.2634)  1 Ga 2.96, 4 In 3.00-3.12, 1 Ag 3.07, 1 Ca 3.18
In (0.3399, 0.1700, 0.7366)  1 Ga 2.96, 4 In 3.00-3.12, 1 Ag 3.07, 1 Ca 3.18
In (0.6600, 0.8300, 0.2634)  1 Ga 2.96, 4 In 3.00-3.12, 1 Ag 3.07, 1 Ca 3.18
In (0.8300, 0.1700, 0.7366)  1 Ga 2.96, 4 In 3.00-3.12, 1 Ag 3.07, 1 Ca 3.18
In (0.8300, 0.6600, 0.7366)  1 Ga 2.96, 4 In 3.00-3.12, 1 Ag 3.07, 1 Ca 3.18
Ga (0.0000, 0.0000, 0.5000)  6 In 2.96
Ag (0.3333, 0.6667, 0.0080)  3 In 3.07
Ag (0.6667, 0.3333, 0.9920)  3 In 3.07


[3]
Pr3BiAsBr after structural relaxation. Source: Alexandria via LeMat-Bulk, functional PBE.

Output
Its magnetization is 0.00 μB per cell. The calculation puts the calculated total energy at -31.9 eV/f.u. For the uncorrected formation energy, the calculation gives -1.22 eV/atom. Its crystal system is monoclinic.

abc: 7.6284 4.3503 11.6578
angles: 90.00 102.25 90.00
Last column: nearest neighbours and their distance in Å.
Fractional positions:
Pr (0.0432, 0.2500, 0.1441)  3 As 3.02-3.06, 1 Br 3.13, 2 Bi 3.38
Pr (0.2873, 0.2500, 0.4984)  3 Br 3.09-3.17, 3 Bi 3.27-3.28
Pr (0.4511, 0.7500, 0.8471)  3 As 3.04-3.07, 1 Br 3.15, 2 Bi 3.36
Pr (0.5489, 0.2500, 0.1529)  3 As 3.04-3.07, 1 Br 3.15, 2 Bi 3.36
Pr (0.7127, 0.7500, 0.5016)  3 Br 3.09-3.17, 3 Bi 3.27-3.28
Pr (0.9568, 0.7500, 0.8559)  3 As 3.02-3.06, 1 Br 3.13, 2 Bi 3.38
Bi (0.3415, 0.7500, 0.2996)  7 Pr 3.27-3.38
Bi (0.6585, 0.2500, 0.7004)  7 Pr 3.27-3.38
As (0.2352, 0.2500, 0.9423)  6 Pr 3.02-3.07
As (0.7648, 0.7500, 0.0577)  6 Pr 3.02-3.07
Br (0.1219, 0.7500, 0.6318)  5 Pr 3.09-3.17
Br (0.8781, 0.2500, 0.3682)  5 Pr 3.09-3.17


[4]
Sr3GeS4 after structural relaxation. Source: Alexandria via LeMat-Bulk, functional PBE.

Output
Its magnetization is 0.00 μB per cell. The calculation puts the calculated total energy at -39.5 eV/f.u. For the uncorrected formation energy, the calculation gives -1.67 eV/atom. Its crystal system is orthorhombic.

abc: 11.9360 6.0175 6.0197
angles: 90.00 90.00 90.00
Last column: nearest neighbours and their distance in Å.
Fractional positions:
Sr (0.0000, 0.2442, 0.0000)  6 S 3.00-3.06
Sr (0.2499, 0.2486, 0.5028)  6 S 3.00-3.02
Sr (0.2501, 0.7514, 0.0028)  6 S 3.00-3.02
Sr (0.5000, 0.7558, 0.5000)  6 S 3.00-3.06
Sr (0.7501, 0.2486, 0.5028)  6 S 3.00-3.02
Sr (0.7499, 0.7514, 0.0028)  6 S 3.00-3.02
Ge (0.0000, 0.7800, 0.5363)  2 S 2.42-2.43
Ge (0.5000, 0.2200, 0.0363)  2 S 2.42-2.43
S (0.0000, 0.1819, 0.5038)  1 Ge 2.43
S (0.0000, 0.7483, 0.9378)  1 Ge 2.42
S (0.2483, 0.7493, 0.5049)  1 Ge 2.98, 5 Sr 3.00-3.02
S (0.2517, 0.2507, 0.0049)  1 Ge 2.98, 5 Sr 3.00-3.02
S (0.5000, 0.2517, 0.4378)  1 Ge 2.42
S (0.5000, 0.8181, 0.0038)  1 Ge 2.43
S (0.7483, 0.2507, 0.0049)  1 Ge 2.98, 5 Sr 3.00-3.02
S (0.7517, 0.7493, 0.5049)  1 Ge 2.98, 5 Sr 3.00-3.02


[5]
ZnOsO3 after structural relaxation. Source: Alexandria via LeMat-Bulk, functional PBE.

Output
Its magnetization is 0.00 μB per cell. The calculation puts the calculated total energy at -23.9 eV/f.u. For the uncorrected formation energy, the calculation gives 0.69 eV/atom. Its crystal system is cubic.

abc: 3.7522 3.7522 3.7522
angles: 90.00 90.00 90.00
Last column: nearest neighbours and their distance in Å.
Fractional positions:
Zn (0.0000, 0.0000, 0.0000)  6 O 1.88
Os (0.5000, 0.5000, 0.5000)  12 O 2.65
O (0.0000, 0.0000, 0.5000)  2 Zn 1.88
O (0.0000, 0.5000, 0.0000)  2 Zn 1.88
O (0.5000, 0.0000, 0.0000)  2 Zn 1.88


[6]
AlTl2Os after structural relaxation. Source: Alexandria via LeMat-Bulk, functional PBE.

Output
Its magnetization is 0.00 μB per cell. The calculation puts the calculated total energy at -16.4 eV/f.u. Its excess energy over the best structure of this formula in the dataset is 0.589 eV/atom. The formation energy from the elements comes out at 3.3 eV per formula unit. Its crystal system is tetragonal.

abc: 3.1223 3.1223 8.6914
angles: 90.00 90.00 90.00
Last column: nearest neighbours and their distance in Å.
Fractional positions:
Al (0.0000, 0.0000, 0.0000)  4 Al 3.12, 8 Tl 3.29
Tl (0.5000, 0.5000, 0.2802)  4 Os 2.92, 4 Tl 3.12
Tl (0.5000, 0.5000, 0.7198)  4 Os 2.92, 4 Tl 3.12
Os (0.0000, 0.0000, 0.5000)  8 Tl 2.92, 4 Os 3.12


[7]
LiYTaOs after structural relaxation. Source: Alexandria via LeMat-Bulk, functional PBE.

Output
Its magnetization is 0.00 μB per cell. The calculation puts the calculated total energy at -31.6 eV/f.u. The formation energy from the elements comes out at -0.1 eV per formula unit. Its crystal system is cubic.

abc: 6.6067 6.6067 6.6067
angles: 90.00 90.00 90.00
Last column: nearest neighbours and their distance in Å.
Fractional positions:
Li (0.0000, 0.0000, 0.0000)  4 Y 2.86, 4 Ta 2.86
Li (0.0000, 0.5000, 0.5000)  4 Y 2.86, 4 Ta 2.86
Li (0.5000, 0.0000, 0.5000)  4 Y 2.86, 4 Ta 2.86
Li (0.5000, 0.5000, 0.0000)  4 Y 2.86, 4 Ta 2.86
Y (0.2500, 0.2500, 0.2500)  4 Li 2.86, 4 Os 2.86
Y (0.2500, 0.7500, 0.7500)  4 Li 2.86, 4 Os 2.86
Y (0.7500, 0.2500, 0.7500)  4 Li 2.86, 4 Os 2.86
Y (0.7500, 0.7500, 0.2500)  4 Li 2.86, 4 Os 2.86
Ta (0.2500, 0.2500, 0.7500)  4 Li 2.86, 4 Os 2.86
Ta (0.2500, 0.7500, 0.2500)  4 Li 2.86, 4 Os 2.86
Ta (0.7500, 0.2500, 0.2500)  4 Li 2.86, 4 Os 2.86
Ta (0.7500, 0.7500, 0.7500)  4 Os 2.86, 4 Li 2.86
Os (0.0000, 0.0000, 0.5000)  4 Ta 2.86, 4 Y 2.86
Os (0.0000, 0.5000, 0.0000)  4 Ta 2.86, 4 Y 2.86
Os (0.5000, 0.0000, 0.0000)  4 Ta 2.86, 4 Y 2.86
Os (0.5000, 0.5000, 0.5000)  4 Ta 2.86, 4 Y 2.86


[8]
BeTc2Os after structural relaxation. Source: Alexandria via LeMat-Bulk, functional PBE.

Output
Its magnetization is 0.00 μB per cell. The calculation puts the calculated total energy at -35.0 eV/f.u. The formation energy from the elements comes out at 0.7 eV per formula unit. Its crystal system is orthorhombic.

abc: 4.9529 8.0027 2.7322
angles: 90.00 90.00 90.00
Last column: nearest neighbours and their distance in Å.
Fractional positions:
Be (0.0000, 0.0000, 0.0000)  2 Os 2.48, 8 Tc 2.72, 2 Be 2.73
Be (0.5000, 0.5000, 0.0000)  2 Os 2.48, 8 Tc 2.72, 2 Be 2.73
Tc (0.2500, 0.2500, 0.5000)  4 Tc 2.48-2.73, 4 Os 2.72, 4 Be 2.72
Tc (0.2500, 0.7500, 0.5000)  4 Tc 2.48-2.73, 4 Os 2.72, 4 Be 2.72
Tc (0.7500, 0.2500, 0.5000)  4 Tc 2.48-2.73, 4 Os 2.72, 4 Be 2.72
Tc (0.7500, 0.7500, 0.5000)  4 Tc 2.48-2.73, 4 Os 2.72, 4 Be 2.72
Os (0.0000, 0.5000, 0.0000)  2 Be 2.48, 8 Tc 2.72, 2 Os 2.73
Os (0.5000, 0.0000, 0.0000)  2 Be 2.48, 8 Tc 2.72, 2 Os 2.73


[9]
Ho9Tm2Mg after structural relaxation. Source: Alexandria via LeMat-Bulk, functional PBE.

Output
Its magnetization is 0.00 μB per cell. The calculation puts the calculated total energy at -51.5 eV/f.u. The formation energy from the elements comes out at 0.3 eV per formula unit. Its crystal system is tetragonal.

abc: 4.9378 4.9378 14.8861
angles: 90.00 90.00 90.00
Last column: nearest neighbours and their distance in Å.
Fractional positions:
Ho (0.0000, 0.0000, 0.0000)  8 Ho 3.48, 4 Mg 3.49
Ho (0.0000, 0.0000, 0.3297)  8 Ho 3.48-3.54, 4 Tm 3.49
Ho (0.0000, 0.0000, 0.6703)  8 Ho 3.48-3.54, 4 Tm 3.49
Ho (0.0000, 0.5000, 0.1652)  8 Ho 3.48-3.49, 2 Mg 3.48, 2 Tm 3.50
Ho (0.0000, 0.5000, 0.5000)  8 Ho 3.49-3.54, 4 Tm 3.51
Ho (0.0000, 0.5000, 0.8348)  8 Ho 3.48-3.49, 2 Mg 3.48, 2 Tm 3.50
Ho (0.5000, 0.0000, 0.1652)  8 Ho 3.48-3.49, 2 Mg 3.48, 2 Tm 3.50
Ho (0.5000, 0.0000, 0.5000)  8 Ho 3.49-3.54, 4 Tm 3.51
Ho (0.5000, 0.0000, 0.8348)  8 Ho 3.48-3.49, 2 Mg 3.48, 2 Tm 3.50
Tm (0.5000, 0.5000, 0.3322)  12 Ho 3.49-3.51
Tm (0.5000, 0.5000, 0.6678)  12 Ho 3.49-3.51
Mg (0.5000, 0.5000, 0.0000)  12 Ho 3.48-3.49


[10]
Y2BeCd after structural relaxation. Source: Alexandria via LeMat-Bulk, functional PBE.

Output
Its magnetization is 1.19 μB per cell. The calculation puts the calculated total energy at -17.6 eV/f.u. Its excess energy over the best structure of this formula in the dataset is 0.130 eV/atom. The formation energy from the elements comes out at 0.0 eV per formula unit. Its crystal system is monoclinic.

abc: 11.6530 3.4969 5.0062
angles: 90.00 115.37 90.00
Last column: nearest neighbours and their distance in Å.
Fractional positions:
Y (0.0000, 0.0000, 0.0000)  2 Be 3.09, 4 Cd 3.17, 2 Y 3.36
Y (0.2123, 0.0000, 0.7120)  4 Be 3.06-3.07, 2 Cd 3.32-3.33, 2 Y 3.36
Y (0.5000, 0.5000, 0.0000)  2 Be 3.09, 4 Cd 3.17, 2 Y 3.36
Y (0.7123, 0.5000, 0.7120)  4 Be 3.06-3.07, 2 Cd 3.32-3.33, 2 Y 3.36
Be (0.2421, 0.5000, 0.2405)  2 Cd 2.56
Be (0.7421, 0.0000, 0.2405)  2 Cd 2.56
Cd (0.4199, 0.0000, 0.4201)  2 Be 2.56
Cd (0.9199, 0.5000, 0.4201)  2 Be 2.56


[11]
YCrP2 after structural relaxation. Source: Alexandria via LeMat-Bulk, functional PBE.

Output
Its magnetization is 0.00 μB per cell. The calculation puts the calculated total energy at -28.7 eV/f.u. Its excess energy over the best structure of this formula in the dataset is 0.462 eV/atom. The formation energy from the elements comes out at -1.8 eV per formula unit. Its crystal system is tetragonal.

abc: 3.0479 3.0479 6.6374
angles: 90.00 90.00 90.00
Last column: nearest neighbours and their distance in Å.
Fractional positions:
Y (0.0000, 0.0000, 0.0000)  8 P 2.96, 4 Y 3.05
Cr (0.0000, 0.0000, 0.5000)  8 P 2.52
P (0.5000, 0.5000, 0.3046)  4 Cr 2.52, 1 P 2.59
P (0.5000, 0.5000, 0.6954)  4 Cr 2.52, 1 P 2.59


[12]
Ge2Bi2Te after structural relaxation. Source: Alexandria via LeMat-Bulk, functional PBE.

Output
Its magnetization is 0.00 μB per cell. The calculation puts the calculated total energy at -19.1 eV/f.u. For the uncorrected formation energy, the calculation gives 0.21 eV/atom. Its excess energy over the best structure of this formula in the dataset is 0.067 eV/atom. Its crystal system is tetragonal.

abc: 5.3643 5.3643 9.7937
angles: 90.00 90.00 90.00
Last column: nearest neighbours and their distance in Å.
Fractional positions:
Ge (0.0000, 0.0000, 0.1284)  1 Ge 2.51
Ge (0.0000, 0.0000, 0.8716)  1 Ge 2.51
Ge (0.5000, 0.5000, 0.3716)  1 Ge 2.51
Ge (0.5000, 0.5000, 0.6284)  1 Ge 2.51
Bi (0.0000, 0.5000, 0.2500)  4 Ge 2.93
Bi (0.0000, 0.5000, 0.7500)  4 Ge 2.93
Bi (0.5000, 0.0000, 0.2500)  4 Ge 2.93
Bi (0.5000, 0.0000, 0.7500)  4 Ge 2.93
Te (0.0000, 0.0000, 0.5000)  8 Bi 3.63, 10 Ge 3.64-4.00
Te (0.5000, 0.5000, 0.0000)  8 Bi 3.63, 10 Ge 3.64-4.00